[1]
Pr7DyHo3 GGA-PBE relaxed; energy relative to the elements = 0.22 eV/atom; polymorph energy (0 for the lowest one) = 38 meV per atom
1.0
-2.9766 5.7079 5.7430
2.9766 -5.7079 5.7430
2.9766 5.7079 -5.7430
Pr Dy Ho
7 1 3
Direct
0.0000 0.0000 0.0000
0.0973 0.7891 0.3082
0.2913 0.5000 0.7913
0.4809 0.7891 0.6918
0.5191 0.2109 0.3082
0.7087 0.5000 0.2087
0.9027 0.2109 0.6918
0.0000 0.5000 0.5000
0.2954 0.2954 0.0000
0.5000 0.0000 0.5000
0.7046 0.7046 0.0000

=====

[2]
Nd2Zn2FeRh5 GGA-PBE relaxed; energy relative to the elements = -0.39 eV/atom
1.0
9.8806 0.0000 0.0000
0.0000 9.8806 0.0000
0.0000 0.0000 3.5269
Nd Zn Fe Rh
4 4 2 10
Direct
0.1738 0.3262 0.0000
0.3262 0.8262 0.0000
0.6738 0.1738 0.0000
0.8262 0.6738 0.0000
0.1261 0.6261 0.0000
0.3739 0.1261 0.0000
0.6261 0.8739 0.0000
0.8739 0.3739 0.0000
0.0000 0.0000 0.0000
0.5000 0.5000 0.0000
0.0000 0.5000 0.5000
0.0612 0.8033 0.5000
0.1967 0.0612 0.5000
0.3033 0.5612 0.5000
0.4388 0.3033 0.5000
0.5000 0.0000 0.5000
0.5612 0.6967 0.5000
0.6967 0.4388 0.5000
0.8033 0.9388 0.5000
0.9388 0.1967 0.5000

=====

[3]
UCdRuO6 GGA-PBE relaxed; uncorrected formation energy = -1.8845 eV per atom
1.0
5.3980 0.0000 0.0000
-2.6990 4.6748 0.0000
0.0000 0.0000 9.8116
U Cd Ru O
2 2 2 12
Direct
0.3333 0.6667 0.2500
0.6667 0.3333 0.7500
0.0000 0.0000 0.0000
0.0000 0.0000 0.5000
0.3333 0.6667 0.7500
0.6667 0.3333 0.2500
0.0122 0.3614 0.6385
0.0122 0.6508 0.8615
0.3492 0.3614 0.8615
0.3492 0.9878 0.6385
0.3614 0.0122 0.1385
0.3614 0.3492 0.3615
0.6386 0.6508 0.6385
0.6386 0.9878 0.8615
0.6508 0.0122 0.3615
0.6508 0.6386 0.1385
0.9878 0.3492 0.1385
0.9878 0.6386 0.3615

=====

Number 1: raw total energy -4.488 eV per atom, D(E_F) 14.18 states/eV per cell. Number 2: raw total energy -6.124 eV per atom, D(E_F) 10.22 states/eV per cell. Number 3: raw total energy -7.576 eV per atom, D(E_F) 8.77 states/eV per cell.